*P*
Material: AgSnAu4
Method: DFT, PBE
State: relaxed

The total moment comes out at 0.00 μB/cell. For the density of states at the Fermi level, the calculation gives 4.4 states/eV/cell.

It has space group C2/m (No. 12), with a = 9.598 Å, b = 4.131 Å, c = 6.030 Å, α = 90.00°, β = 107.68° and γ = 90.00°. Symmetry generates all atoms from Ag at (0.000, 0.000, 0.000), Sn at (0.000, 0.000, 0.500), Au at (0.166, 0.500, 0.326) and Au at (0.168, 0.500, 0.839).


*Q*
Material: AgSnAu4
Method: DFT, PBE
State: relaxed

The total moment comes out at 0.00 μB/cell. For the density of states at the Fermi level, the calculation gives 1.4 states/eV/cell.

It has space group P-1 (No. 2), with a = 5.121 Å, b = 5.143 Å, c = 5.180 Å, α = 60.71°, β = 81.16° and γ = 72.75°. Symmetry generates all atoms from Ag at (0.000, 0.000, 0.000), Sn at (0.500, 0.500, 0.000), Au at (0.000, 0.331, 0.337) and Au at (0.500, 0.164, 0.671).


*R*
Material: AgSnAu4
Method: DFT, PBE
State: relaxed

The total moment comes out at 0.00 μB/cell. For the density of states at the Fermi level, the calculation gives 10.7 states/eV/cell.

It has space group F-43m (No. 216), with a = 7.887 Å, b = 7.887 Å, c = 7.887 Å, α = 90.00°, β = 90.00° and γ = 90.00°. Symmetry generates all atoms from Ag at (0.000, 0.000, 0.000), Sn at (0.250, 0.250, 0.250) and Au at (0.125, 0.125, 0.625).


Stability ranking, top and bottom: *Q* is the most stable and *R* is the least stable.


*P*
Material: Ag3SnAu2
Method: DFT, PBE
State: relaxed

The total moment comes out at 0.00 μB/cell. For the density of states at the Fermi level, the calculation gives 6.7 states/eV/cell.

It has space group C2/c (No. 15), with a = 8.189 Å, b = 9.543 Å, c = 6.254 Å, α = 90.00°, β = 99.47° and γ = 90.00°. Symmetry generates all atoms from Ag at (0.000, 0.198, 0.250), Ag at (0.176, 0.028, 0.984), Sn at (0.000, 0.493, 0.250) and Au at (0.157, 0.250, 0.683).


*Q*
Material: Ag3SnAu2
Method: DFT, PBE
State: relaxed

The total moment comes out at 0.00 μB/cell. For the density of states at the Fermi level, the calculation gives 8.2 states/eV/cell.

It has space group Fddd (No. 70, origin choice 2), with a = 6.156 Å, b = 7.995 Å, c = 18.396 Å, α = 90.00°, β = 90.00° and γ = 90.00°. Symmetry generates all atoms from Ag at (0.125, 0.125, 0.125), Ag at (0.125, 0.125, 0.458), Sn at (0.125, 0.125, 0.625) and Au at (0.125, 0.125, 0.292).


Stability ranking, top and bottom: *Q* is the most stable and *P* is the least stable.


*P*
Material: AgSn2Au
Method: DFT, PBE
State: relaxed

The total moment comes out at 0.00 μB/cell. For the density of states at the Fermi level, the calculation gives 4.3 states/eV/cell.

It has space group R3m (No. 160, hexagonal axes), with a = 4.4446 Å, b = 4.4446 Å, c = 17.0536 Å, α = 90.00°, β = 90.00° and γ = 120.00°. Symmetry generates all atoms from Ag at (0.0000, 0.0000, 0.0000), Sn at (0.0000, 0.0000, 0.2352), Sn at (0.0000, 0.0000, 0.4215) and Au at (0.0000, 0.0000, 0.8280).


*Q*
Material: AgSn2Au
Method: DFT, PBE
State: relaxed

The total moment comes out at 0.00 μB/cell. For the density of states at the Fermi level, the calculation gives 2.9 states/eV/cell.

It has space group P2_1/m (No. 11), with a = 5.729 Å, b = 4.446 Å, c = 7.615 Å, α = 90.00°, β = 110.77° and γ = 90.00°. Symmetry generates all atoms from Ag at (0.177, 0.250, 0.296), Sn at (0.288, 0.750, 0.578), Sn at (0.291, 0.750, 0.069) and Au at (0.172, 0.250, 0.792).


*R*
Material: AgSn2Au
Method: DFT, PBE
State: relaxed

The total moment comes out at 0.00 μB/cell. For the density of states at the Fermi level, the calculation gives 4.3 states/eV/cell.

It has space group R-3m (No. 166, hexagonal axes), with a = 3.5728 Å, b = 3.5728 Å, c = 27.8301 Å, α = 90.00°, β = 90.00° and γ = 120.00°. Symmetry generates all atoms from Ag at (0.0000, 0.0000, 0.0000), Sn at (0.0000, 0.0000, 0.0973) and Au at (0.0000, 0.0000, 0.5000).


Stability ranking, top and bottom: *Q* is the most stable and *R* is the least stable.


*P*
Material: Ag2SnAu8
Method: DFT, PBE
State: relaxed

The total moment comes out at 0.00 μB/cell. For the density of states at the Fermi level, the calculation gives 6.2 states/eV/cell.

It has space group C2/m (No. 12), with a = 15.113 Å, b = 4.231 Å, c = 6.638 Å, α = 90.00°, β = 106.27° and γ = 90.00°. Symmetry generates all atoms from Ag at (0.226, 0.000, 0.134), Sn at (0.000, 0.500, 0.500), Au at (0.048, 0.000, 0.221), Au at (0.093, 0.500, 0.953), Au at (0.138, 0.000, 0.684) and Au at (0.184, 0.500, 0.409).


*Q*
Material: Ag2SnAu8
Method: DFT, PBE
State: relaxed

The total moment comes out at 0.00 μB/cell. For the density of states at the Fermi level, the calculation gives 6.3 states/eV/cell.

It has space group C2/m (No. 12), with a = 8.125 Å, b = 13.072 Å, c = 5.459 Å, α = 90.00°, β = 131.75° and γ = 90.00°. Symmetry generates all atoms from Ag at (0.000, 0.194, 0.000), Sn at (0.000, 0.500, 0.500), Au at (0.000, 0.278, 0.500), Au at (0.095, 0.000, 0.329) and Au at (0.210, 0.386, 0.099).


Stability ranking, top and bottom: *P* is the most stable and *Q* is the least stable.


*P*
Material: AgSnAu
Method: DFT, PBE
State: relaxed

The total moment comes out at 0.00 μB/cell. For the density of states at the Fermi level, the calculation gives 4.5 states/eV/cell.

It has space group C2/m (No. 12), with a = 7.752 Å, b = 4.074 Å, c = 9.155 Å, α = 90.00°, β = 90.22° and γ = 90.00°. Symmetry generates all atoms from Ag at (0.159, 0.000, 0.075), Sn at (0.160, 0.000, 0.395) and Au at (0.158, 0.000, 0.760).


*Q*
Material: AgSnAu
Method: DFT, PBE
State: relaxed

The total moment comes out at 0.00 μB/cell. For the density of states at the Fermi level, the calculation gives 3.9 states/eV/cell.

It has space group C2/m (No. 12), with a = 7.993 Å, b = 4.629 Å, c = 7.727 Å, α = 90.00°, β = 110.35° and γ = 90.00°. Symmetry generates all atoms from Ag at (0.000, 0.000, 0.000), Ag at (0.000, 0.500, 0.500), Sn at (0.237, 0.000, 0.712) and Au at (0.126, 0.500, 0.879).


Stability ranking, top and bottom: *Q* is the most stable and *P* is the least stable.


*P*
Material: AgSnAu
Method: DFT, PBE
State: relaxed

The total moment comes out at 0.00 μB/cell. For the density of states at the Fermi level, the calculation gives 3.2 states/eV/cell.

It has space group I4mm (No. 107), with a = 3.774 Å, b = 3.774 Å, c = 8.656 Å, α = 90.00°, β = 90.00° and γ = 90.00°. Symmetry generates all atoms from Ag at (0.000, 0.000, 0.000), Sn at (0.000, 0.000, 0.328) and Au at (0.000, 0.000, 0.665).


*Q*
Material: AgSnAu
Method: DFT, PBE
State: relaxed

The total moment comes out at 0.00 μB/cell. For the density of states at the Fermi level, the calculation gives 8.6 states/eV/cell.

It has space group F-43m (No. 216), with a = 6.519 Å, b = 6.519 Å, c = 6.519 Å, α = 90.00°, β = 90.00° and γ = 90.00°. Symmetry generates all atoms from Ag at (0.000, 0.000, 0.000), Sn at (0.000, 0.000, 0.500) and Au at (0.250, 0.250, 0.750).


Stability ranking, top and bottom: *Q* is the most stable and *P* is the least stable.